An optimized crystal structure of Ba3Li7Bi4, computed with PBE.

Cell and atoms, written as CIF:
```
data_Ba3Li7Bi4
_cell_length_a 18.521
_cell_length_b 5.061
_cell_length_c 10.444
_cell_angle_alpha 90.00
_cell_angle_beta 123.35
_cell_angle_gamma 90.00
_symmetry_space_group_name_H-M 'C 1 2/m 1'
_symmetry_Int_Tables_number 12
_symmetry_space_group_name_Hall '-C 2y'
loop_
_atom_site_label
_atom_site_fract_x
_atom_site_fract_y
_atom_site_fract_z
Ba1 0.000 0.000 0.000
Ba2 0.205 0.500 0.701
Li1 0.000 0.000 0.500
Li2 0.007 0.500 0.301
Li3 0.173 0.000 0.912
Li4 0.174 0.500 0.327
Bi1 0.123 0.000 0.414
Bi2 0.146 0.500 0.011
```

Values from the calculation:
Calculated formation energy in eV per formula unit: -8.946
Total magnetic moment in μB/f.u.: 0.3
Energy in eV/atom: -3.117
Mass density in g/cm3: 5.27
Fermi-level density of states in states/eV per cell: 4.9

=====

An optimized crystal structure of BaLiBi, computed with PBE.

Cell and atoms, written as CIF:
```
data_BaLiBi
_cell_length_a 4.9350
_cell_length_b 4.9350
_cell_length_c 4.8900
_cell_angle_alpha 90.00
_cell_angle_beta 90.00
_cell_angle_gamma 120.00
_symmetry_space_group_name_H-M 'P -6 m 2'
_symmetry_Int_Tables_number 187
_symmetry_space_group_name_Hall 'P -6 2'
loop_
_atom_site_label
_atom_site_fract_x
_atom_site_fract_y
_atom_site_fract_z
Ba1 0.0000 0.0000 0.0000
Li1 0.3333 0.6667 0.5000
Bi1 0.6667 0.3333 0.5000
```

Values from the calculation:
Calculated formation energy in eV per formula unit: -2.351
Total magnetic moment in μB/f.u.: 0.0
Energy in eV/atom: -3.356
Mass density in g/cm3: 5.69
Fermi-level density of states in states/eV per cell: 0.0

=====

An optimized crystal structure of BaLiBi3, computed with PBE.

Cell and atoms, written as CIF:
```
data_BaLiBi3
_cell_length_a 6.415
_cell_length_b 6.415
_cell_length_c 6.415
_cell_angle_alpha 90.00
_cell_angle_beta 90.00
_cell_angle_gamma 90.00
_symmetry_space_group_name_H-M 'P m -3 m'
_symmetry_Int_Tables_number 221
_symmetry_space_group_name_Hall '-P 4 2 3'
loop_
_atom_site_label
_atom_site_fract_x
_atom_site_fract_y
_atom_site_fract_z
Ba1 0.000 0.000 0.000
Li1 0.500 0.500 0.500
Bi1 0.000 0.000 0.500
```

Values from the calculation:
Calculated formation energy in eV per formula unit: 3.034
Total magnetic moment in μB/f.u.: 0.0
Energy in eV/atom: -2.489
Energy above the lowest structure with this stoichiometry in meV/atom: 1062
Mass density in g/cm3: 4.85
Fermi-level density of states in states/eV per cell: 2.7

=====

An optimized crystal structure of BaLi3Bi, computed with PBE.

Cell and atoms, written as CIF:
```
data_BaLi3Bi
_cell_length_a 5.392
_cell_length_b 5.392
_cell_length_c 5.392
_cell_angle_alpha 90.00
_cell_angle_beta 90.00
_cell_angle_gamma 90.00
_symmetry_space_group_name_H-M 'P m -3 m'
_symmetry_Int_Tables_number 221
_symmetry_space_group_name_Hall '-P 4 2 3'
loop_
_atom_site_label
_atom_site_fract_x
_atom_site_fract_y
_atom_site_fract_z
Ba1 0.000 0.000 0.000
Li1 0.000 0.500 0.500
Bi1 0.500 0.500 0.500
```

Values from the calculation:
Calculated formation energy in eV per formula unit: -1.198
Total magnetic moment in μB/f.u.: 0.4
Energy in eV/atom: -2.549
Energy above the lowest structure with this stoichiometry in meV/atom: 0
Mass density in g/cm3: 3.89
Fermi-level density of states in states/eV per cell: 3.1

=====

An optimized crystal structure of BaLiBi4, computed with PBE.

Cell and atoms, written as CIF:
```
data_BaLiBi4
_cell_length_a 9.500
_cell_length_b 9.500
_cell_length_c 9.500
_cell_angle_alpha 90.00
_cell_angle_beta 90.00
_cell_angle_gamma 90.00
_symmetry_space_group_name_H-M 'F -4 3 m'
_symmetry_Int_Tables_number 216
_symmetry_space_group_name_Hall 'F -4 2 3'
loop_
_atom_site_label
_atom_site_fract_x
_atom_site_fract_y
_atom_site_fract_z
Ba1 0.000 0.000 0.000
Li1 0.250 0.250 0.250
Bi1 0.124 0.124 0.624
```

Values from the calculation:
Calculated formation energy in eV per formula unit: -1.674
Total magnetic moment in μB/f.u.: 0.0
Energy in eV/atom: -3.506
Mass density in g/cm3: 7.59
Fermi-level density of states in states/eV per cell: 27.3

=====

An optimized crystal structure of BaLi3Bi2, computed with PBE.

Cell and atoms, written as CIF:
```
data_BaLi3Bi2
_cell_length_a 17.931
_cell_length_b 4.994
_cell_length_c 8.511
_cell_angle_alpha 90.00
_cell_angle_beta 118.28
_cell_angle_gamma 90.00
_symmetry_space_group_name_H-M 'C 1 2/m 1'
_symmetry_Int_Tables_number 12
_symmetry_space_group_name_Hall '-C 2y'
loop_
_atom_site_label
_atom_site_fract_x
_atom_site_fract_y
_atom_site_fract_z
Ba1 0.140 0.000 0.139
Li1 0.000 0.000 0.342
Li2 0.163 0.500 0.843
Li3 0.164 0.500 0.482
Bi1 0.000 0.500 0.179
Bi2 0.185 0.000 0.685
```

Values from the calculation:
Calculated formation energy in eV per formula unit: -3.678
Total magnetic moment in μB/f.u.: 0.0
Energy in eV/atom: -3.184
Mass density in g/cm3: 5.70
Fermi-level density of states in states/eV per cell: 0.2

=====

An optimized crystal structure of BaLiBi3, computed with PBE.

Cell and atoms, written as CIF:
```
data_BaLiBi3
_cell_length_a 7.4636
_cell_length_b 7.4636
_cell_length_c 6.7143
_cell_angle_alpha 90.00
_cell_angle_beta 90.00
_cell_angle_gamma 120.00
_symmetry_space_group_name_H-M 'P 63/m m c'
_symmetry_Int_Tables_number 194
_symmetry_space_group_name_Hall '-P 6c 2c'
loop_
_atom_site_label
_atom_site_fract_x
_atom_site_fract_y
_atom_site_fract_z
Ba1 0.3333 0.6667 0.2500
Li1 0.0000 0.0000 0.0000
Bi1 0.1880 0.3759 0.7500
```

Values from the calculation:
Calculated formation energy in eV per formula unit: -2.203
Total magnetic moment in μB/f.u.: 0.0
Energy in eV/atom: -3.537
Energy above the lowest structure with this stoichiometry in meV/atom: 15
Mass density in g/cm3: 7.91
Fermi-level density of states in states/eV per cell: 6.6

=====

An optimized crystal structure of Ba2Li3MgBi4, computed with PBE.

Cell and atoms, written as CIF:
```
data_Ba2Li3MgBi4
_cell_length_a 4.943
_cell_length_b 4.943
_cell_length_c 12.102
_cell_angle_alpha 90.00
_cell_angle_beta 90.00
_cell_angle_gamma 90.00
_symmetry_space_group_name_H-M 'P -4 m 2'
_symmetry_Int_Tables_number 115
_symmetry_space_group_name_Hall 'P -4 -2'
loop_
_atom_site_label
_atom_site_fract_x
_atom_site_fract_y
_atom_site_fract_z
Ba1 0.000 0.500 0.243
Li1 0.000 0.500 0.870
Li2 0.500 0.500 0.500
Mg1 0.000 0.000 0.500
Bi1 0.000 0.000 0.000
Bi2 0.000 0.500 0.639
Bi3 0.500 0.500 0.000
```

Values from the calculation:
Calculated formation energy in eV per formula unit: -7.069
Total magnetic moment in μB/f.u.: 0.0
Energy in eV/atom: -3.377
Mass density in g/cm3: 6.49
Fermi-level density of states in states/eV per cell: 0.9

=====

An optimized crystal structure of Ba2LiBiN, computed with PBE.

Cell and atoms, written as CIF:
```
data_Ba2LiBiN
_cell_length_a 5.763
_cell_length_b 5.763
_cell_length_c 4.388
_cell_angle_alpha 90.00
_cell_angle_beta 90.00
_cell_angle_gamma 90.00
_symmetry_space_group_name_H-M 'P 4/m m m'
_symmetry_Int_Tables_number 123
_symmetry_space_group_name_Hall '-P 4 2'
loop_
_atom_site_label
_atom_site_fract_x
_atom_site_fract_y
_atom_site_fract_z
Ba1 0.000 0.500 0.000
Li1 0.000 0.000 0.500
Bi1 0.500 0.500 0.500
N1 0.000 0.000 0.000
```

Values from the calculation:
Total magnetic moment in μB/f.u.: 0.6
Energy in eV/atom: -4.095
Uncorrected formation energy in kcal/mol of atoms: -11.57
Mass density in g/cm3: 5.75
Fermi-level density of states in states/eV per cell: 4.8

=====

An optimized crystal structure of Ba2NaLi3Bi4, computed with PBE.

Cell and atoms, written as CIF:
```
data_Ba2NaLi3Bi4
_cell_length_a 4.883
_cell_length_b 4.883
_cell_length_c 12.854
_cell_angle_alpha 90.00
_cell_angle_beta 90.00
_cell_angle_gamma 90.00
_symmetry_space_group_name_H-M 'P -4 m 2'
_symmetry_Int_Tables_number 115
_symmetry_space_group_name_Hall 'P -4 -2'
loop_
_atom_site_label
_atom_site_fract_x
_atom_site_fract_y
_atom_site_fract_z
Ba1 0.000 0.500 0.245
Na1 0.000 0.000 0.500
Li1 0.000 0.500 0.866
Li2 0.500 0.500 0.500
Bi1 0.000 0.000 0.000
Bi2 0.000 0.500 0.650
Bi3 0.500 0.500 0.000
```

Values from the calculation:
Calculated formation energy in eV per formula unit: -6.409
Total magnetic moment in μB/f.u.: 0.0
Energy in eV/atom: -3.284
Mass density in g/cm3: 6.25
Fermi-level density of states in states/eV per cell: 7.3

=====

Copy entry 8 word for word.
An optimized crystal structure of Ba2Li3MgBi4, computed with PBE.

Cell and atoms, written as CIF:
```
data_Ba2Li3MgBi4
_cell_length_a 4.943
_cell_length_b 4.943
_cell_length_c 12.102
_cell_angle_alpha 90.00
_cell_angle_beta 90.00
_cell_angle_gamma 90.00
_symmetry_space_group_name_H-M 'P -4 m 2'
_symmetry_Int_Tables_number 115
_symmetry_space_group_name_Hall 'P -4 -2'
loop_
_atom_site_label
_atom_site_fract_x
_atom_site_fract_y
_atom_site_fract_z
Ba1 0.000 0.500 0.243
Li1 0.000 0.500 0.870
Li2 0.500 0.500 0.500
Mg1 0.000 0.000 0.500
Bi1 0.000 0.000 0.000
Bi2 0.000 0.500 0.639
Bi3 0.500 0.500 0.000
```

Values from the calculation:
Calculated formation energy in eV per formula unit: -7.069
Total magnetic moment in μB/f.u.: 0.0
Energy in eV/atom: -3.377
Mass density in g/cm3: 6.49
Fermi-level density of states in states/eV per cell: 0.9